(1)
Compound: BaLi
Source: Alexandria via LeMat-Bulk
Functional: SCAN
Structure: single point on PBEsol structure

Summary:
- energy above the lowest structure with this stoichiometry (meV per atom) = 42
- E_tot (eV for the cell shown) = -250.90
- energy relative to the elements (kJ/mol of formula units) = 12
- magnetization (μB/atom) = 0.12

Cell lengths 14.3683, 4.1593, 8.3712 Å; angles 90.00, 106.96, 90.00 degrees
Closest atoms and distances in Å follow each position.
Space group Cm (No. 8)
Symmetry-distinct sites (fractional):
Ba (0.0000, 0.0000, 0.0000) x2  6 Ba 3.87-4.21, 6 Li 4.03-4.07
Ba (0.0146, 0.0000, 0.4819) x2  6 Li 3.65-3.90, 1 Ba 3.98
Ba (0.2185, 0.5000, 0.8582) x2  4 Li 3.57-3.66, 1 Ba 3.87
Li (0.2079, 0.5000, 0.3445) x2  4 Li 3.07-3.18
Li (0.3236, 0.0000, 0.2117) x2  3 Li 3.07-3.28
Li (0.3332, 0.0000, 0.6085) x2  3 Li 3.18-3.28



(2)
Compound: BaLi5
Source: Alexandria via LeMat-Bulk
Functional: SCAN
Structure: single point on PBEsol structure

Summary:
- energy above the lowest structure with this stoichiometry (meV per atom) = 57
- E_tot (eV for the cell shown) = -102.24
- energy relative to the elements (kJ/mol of formula units) = 37
- magnetization (μB/atom) = 0.12

Cell lengths 11.7923, 3.7334, 7.6475 Å; angles 90.00, 107.49, 90.00 degrees
Closest atoms and distances in Å follow each position.
Space group C2/m (No. 12)
Symmetry-distinct sites (fractional):
Ba (0.0000, 0.0000, 0.0000) x2  12 Li 3.53-3.82, 2 Ba 3.73
Li (0.0000, 0.0000, 0.5000) x2  8 Li 3.03-3.24
Li (0.1683, 0.5000, 0.3883) x4  7 Li 2.85-3.12
Li (0.1889, 0.5000, 0.7954) x4  5 Li 3.05-3.24